1 | Below is a geometry-optimized AcTh2Mg structure, with properties calculated at the PBE level.

Lattice parameters (Å, degrees): 5.0454 5.0454 5.2021 90.00 90.00 90.00
Last column: nearest neighbours and their distance in Å.
Sites, in units of the cell vectors:
Ac1 0.0000 0.0000 0.0000  4 Mg 3.57, 8 Th 3.62
Th1 0.0000 0.5000 0.5000  4 Th 3.57, 4 Ac 3.62, 4 Mg 3.62
Th2 0.5000 0.0000 0.5000  4 Th 3.57, 4 Ac 3.62, 4 Mg 3.62
Mg1 0.5000 0.5000 0.0000  4 Ac 3.57, 8 Th 3.62

Values from the calculation:
* DOS at the Fermi energy: 4.62 states/eV/f.u.



2 | Below is a geometry-optimized AcTh2Mg structure, with properties calculated at the PBE level.

Lattice parameters (Å, degrees): 3.7531 3.7531 9.3602 90.00 90.00 90.00
Last column: nearest neighbours and their distance in Å.
Sites, in units of the cell vectors:
Ac1 0.0000 0.0000 0.0000  8 Th 3.74, 4 Ac 3.75
Th1 0.5000 0.5000 0.2808  4 Mg 3.35, 4 Ac 3.74, 4 Th 3.75
Th2 0.5000 0.5000 0.7192  4 Mg 3.35, 4 Ac 3.74, 4 Th 3.75
Mg1 0.0000 0.0000 0.5000  8 Th 3.35, 4 Mg 3.75

Values from the calculation:
* DOS at the Fermi energy: 4.57 states/eV/f.u.



Which one sits at the top of the stability order? 1 does.



1 | Below is a geometry-optimized Ac2ThMg structure, with properties calculated at the PBE level.

Lattice parameters (Å, degrees): 5.3005 5.3005 5.1451 90.00 90.00 90.00
Last column: nearest neighbours and their distance in Å.
Sites, in units of the cell vectors:
Ac1 0.0000 0.5000 0.0000  4 Th 3.69, 4 Mg 3.69, 4 Ac 3.75
Ac2 0.5000 0.0000 0.0000  4 Th 3.69, 4 Mg 3.69, 4 Ac 3.75
Th1 0.0000 0.0000 0.5000  8 Ac 3.69, 4 Mg 3.75
Mg1 0.5000 0.5000 0.5000  8 Ac 3.69, 4 Th 3.75

Values from the calculation:
* DOS at the Fermi energy: 5.01 states/eV/f.u.



2 | Below is a geometry-optimized Ac2ThMg structure, with properties calculated at the PBE level.

Lattice parameters (Å, degrees): 13.1844 13.1844 13.1844 15.86 15.86 15.86
Last column: nearest neighbours and their distance in Å.
Sites, in units of the cell vectors:
Ac1 0.0912 0.0912 0.0912  1 Th 3.56, 3 Mg 3.62, 6 Ac 3.64
Ac2 0.9088 0.9088 0.9088  1 Th 3.56, 3 Mg 3.62, 6 Ac 3.64
Th1 0.0000 0.0000 0.0000  2 Ac 3.56, 6 Th 3.64
Mg1 0.5000 0.5000 0.5000  6 Ac 3.62, 6 Mg 3.64

Values from the calculation:
* DOS at the Fermi energy: 5.33 states/eV/f.u.



3 | Below is a geometry-optimized Ac2ThMg structure, with properties calculated at the PBE level.

Lattice parameters (Å, degrees): 3.8234 3.8234 9.9799 90.00 90.00 90.00
Last column: nearest neighbours and their distance in Å.
Sites, in units of the cell vectors:
Ac1 0.0000 0.0000 0.2421  4 Mg 3.63, 4 Th 3.73, 4 Ac 3.82
Ac2 0.0000 0.0000 0.7579  4 Mg 3.63, 4 Th 3.73, 4 Ac 3.82
Th1 0.5000 0.5000 0.5000  8 Ac 3.73, 4 Th 3.82
Mg1 0.5000 0.5000 0.0000  8 Ac 3.63, 4 Mg 3.82

Values from the calculation:
* DOS at the Fermi energy: 3.96 states/eV/f.u.



4 | Below is a geometry-optimized Ac2ThMg structure, with properties calculated at the PBE level.

Lattice parameters (Å, degrees): 5.9236 5.9236 5.9236 60.00 60.00 60.00
Last column: nearest neighbours and their distance in Å.
Sites, in units of the cell vectors:
Ac1 0.2500 0.2500 0.2500  4 Mg 3.63, 4 Th 3.63
Ac2 0.7500 0.7500 0.7500  4 Mg 3.63, 4 Th 3.63
Th1 0.0000 0.0000 0.0000  8 Ac 3.63
Mg1 0.5000 0.5000 0.5000  8 Ac 3.63

Values from the calculation:
* DOS at the Fermi energy: 6.92 states/eV/f.u.



Which one sits at the top of the stability order? 3 does.



1 | Below is a geometry-optimized Ac4Mg3Tl structure, with properties calculated at the PBE level.

Lattice parameters (Å, degrees): 3.8762 5.3081 13.6360 90.00 90.00 90.00
Last column: nearest neighbours and their distance in Å.
Sites, in units of the cell vectors:
Ac1 0.0000 0.0000 0.0000  5 Mg 3.55-3.75, 2 Tl 3.67, 2 Ac 3.88
Ac2 0.0000 0.5000 0.3240  4 Tl 3.53, 3 Mg 3.63-3.78, 2 Ac 3.88
Ac3 0.5000 0.0000 0.5001  6 Mg 3.57-3.63, 1 Tl 3.70, 2 Ac 3.88
Ac4 0.5000 0.5000 0.8286  7 Mg 3.58-3.69, 2 Ac 3.88
Mg1 0.0000 0.0000 0.7252  2 Mg 3.14
Mg2 0.0000 0.5000 0.6015  2 Mg 3.14
Mg3 0.5000 0.5000 0.0990  2 Tl 3.19, 4 Ac 3.55
Tl1 0.5000 0.0000 0.2288  2 Mg 3.19, 4 Ac 3.53

Values from the calculation:
* DOS at the Fermi energy: 6.55 states/eV/f.u.



2 | Below is a geometry-optimized Ac4Mg3Tl structure, with properties calculated at the PBE level.

Lattice parameters (Å, degrees): 4.1230 4.1230 16.4803 90.00 90.00 90.00
Last column: nearest neighbours and their distance in Å.
Sites, in units of the cell vectors:
Ac1 0.0000 0.0000 0.1249  8 Mg 3.54-3.57
Ac2 0.0000 0.0000 0.3740  4 Tl 3.58, 4 Mg 3.59
Ac3 0.0000 0.0000 0.6260  4 Tl 3.58, 4 Mg 3.59
Ac4 0.0000 0.0000 0.8751  8 Mg 3.54-3.57
Mg1 0.5000 0.5000 0.0000  8 Ac 3.57
Mg2 0.5000 0.5000 0.2466  8 Ac 3.54-3.59
Mg3 0.5000 0.5000 0.7534  8 Ac 3.54-3.59
Tl1 0.5000 0.5000 0.5000  8 Ac 3.58

Values from the calculation:
* DOS at the Fermi energy: 11.08 states/eV/f.u.



Which one sits at the top of the stability order? 2 does.



1 | Below is a geometry-optimized Ac2MgTl2 structure, with properties calculated at the PBE level.

Lattice parameters (Å, degrees): 6.6495 6.6495 6.6495 138.48 117.61 77.75
Last column: nearest neighbours and their distance in Å.
Sites, in units of the cell vectors:
Ac1 0.2075 0.2075 0.0000  6 Tl 3.53-3.58, 2 Mg 3.84
Ac2 0.7925 0.7925 0.0000  6 Tl 3.53-3.58, 2 Mg 3.84
Mg1 0.5000 0.0000 0.5000  4 Tl 2.98
Tl1 0.2364 0.5000 0.7364  2 Mg 2.98, 1 Tl 3.26
Tl2 0.7636 0.5000 0.2636  2 Mg 2.98, 1 Tl 3.26

Values from the calculation:
* DOS at the Fermi energy: 4.72 states/eV/f.u.



2 | Below is a geometry-optimized Ac2MgTl2 structure, with properties calculated at the PBE level.

Lattice parameters (Å, degrees): 6.7149 6.7149 12.0988 116.37 116.37 44.16
Last column: nearest neighbours and their distance in Å.
Sites, in units of the cell vectors:
Ac1 0.0022 0.0022 0.1717  6 Tl 3.47-3.64, 4 Mg 3.61-3.71
Ac2 0.1773 0.1773 0.5975  6 Tl 3.50-3.65, 1 Ac 3.88, 2 Mg 3.91
Ac3 0.8227 0.8227 0.4025  6 Tl 3.50-3.65, 1 Ac 3.88, 2 Mg 3.91
Ac4 0.9978 0.9978 0.8283  6 Tl 3.47-3.64, 4 Mg 3.61-3.71
Mg1 0.2814 0.2814 0.1376  4 Tl 2.93-3.10
Mg2 0.7186 0.7186 0.8624  4 Tl 2.93-3.10
Tl1 0.3556 0.3556 0.9272  3 Mg 2.93-3.10, 1 Tl 3.15
Tl2 0.4780 0.4780 0.6224  1 Mg 3.01, 1 Tl 3.26
Tl3 0.5220 0.5220 0.3776  1 Mg 3.01, 1 Tl 3.26
Tl4 0.6444 0.6444 0.0728  3 Mg 2.93-3.10, 1 Tl 3.15

Values from the calculation:
* DOS at the Fermi energy: 3.91 states/eV/f.u.



Which one sits at the top of the stability order? 2 does.



1 | Below is a geometry-optimized Ac8MgTl2 structure, with properties calculated at the PBE level.

Lattice parameters (Å, degrees): 10.5215 10.5215 7.7336 100.42 100.42 31.85
Last column: nearest neighbours and their distance in Å.
Sites, in units of the cell vectors:
Ac1 0.0278 0.0278 0.2524  1 Tl 3.48, 2 Mg 3.57, 1 Ac 3.85
Ac2 0.1918 0.1918 0.7942  3 Tl 3.37-3.68
Ac3 0.3380 0.3380 0.5487  3 Tl 3.37-3.49, 1 Mg 3.37
Ac4 0.4093 0.4093 0.0452  1 Mg 3.65, 8 Ac 3.84-4.04, 2 Tl 3.99
Ac5 0.5907 0.5907 0.9548  1 Mg 3.65, 8 Ac 3.84-4.04, 2 Tl 3.99
Ac6 0.6620 0.6620 0.4513  3 Tl 3.37-3.49, 1 Mg 3.37
Ac7 0.8082 0.8082 0.2058  3 Tl 3.37-3.68
Ac8 0.9722 0.9722 0.7476  1 Tl 3.48, 2 Mg 3.57, 1 Ac 3.85
Mg1 0.5000 0.5000 0.5000  8 Ac 3.37-3.65
Tl1 0.1982 0.1982 0.2332  7 Ac 3.37-3.68
Tl2 0.8018 0.8018 0.7668  7 Ac 3.37-3.68

Values from the calculation:
* DOS at the Fermi energy: 11.17 states/eV/f.u.



2 | Below is a geometry-optimized Ac8MgTl2 structure, with properties calculated at the PBE level.

Lattice parameters (Å, degrees): 9.8506 9.8506 9.8506 147.15 120.96 69.23
Last column: nearest neighbours and their distance in Å.
Sites, in units of the cell vectors:
Ac1 0.1169 0.3397 0.7771  3 Tl 3.57-3.59, 1 Mg 3.74, 5 Ac 3.83-3.88
Ac2 0.1419 0.1419 0.0000  2 Mg 3.61, 8 Ac 3.85-3.88, 2 Tl 3.86
Ac3 0.3177 0.0000 0.3177  7 Ac 3.54-3.85, 2 Tl 3.59
Ac4 0.4374 0.6603 0.7771  3 Tl 3.57-3.59, 1 Mg 3.74, 5 Ac 3.83-3.88
Ac5 0.5626 0.3397 0.2229  3 Tl 3.57-3.59, 1 Mg 3.74, 5 Ac 3.83-3.88
Ac6 0.6823 0.0000 0.6823  7 Ac 3.54-3.85, 2 Tl 3.59
Ac7 0.8581 0.8581 0.0000  2 Mg 3.61, 8 Ac 3.85-3.88, 2 Tl 3.86
Ac8 0.8831 0.6603 0.2229  3 Tl 3.57-3.59, 1 Mg 3.74, 5 Ac 3.83-3.88
Mg1 0.0000 0.5000 0.5000  8 Ac 3.61-3.74
Tl1 0.3070 0.8070 0.5000  10 Ac 3.57-3.86
Tl2 0.6930 0.1930 0.5000  10 Ac 3.57-3.86

Values from the calculation:
* DOS at the Fermi energy: 12.64 states/eV/f.u.



Which one sits at the top of the stability order? 1 does.



1 | Below is a geometry-optimized AcMgTl4 structure, with properties calculated at the PBE level.

Lattice parameters (Å, degrees): 4.8669 4.8669 8.4991 90.00 90.00 90.00
Last column: nearest neighbours and their distance in Å.
Sites, in units of the cell vectors:
Ac1 0.0000 0.0000 0.0000  8 Tl 3.48
Mg1 0.5000 0.5000 0.5000  8 Tl 3.00
Tl1 0.0000 0.5000 0.2928  2 Mg 3.00
Tl2 0.0000 0.5000 0.7072  2 Mg 3.00
Tl3 0.5000 0.0000 0.2928  2 Mg 3.00
Tl4 0.5000 0.0000 0.7072  2 Mg 3.00

Values from the calculation:
* DOS at the Fermi energy: 3.25 states/eV/f.u.



2 | Below is a geometry-optimized AcMgTl4 structure, with properties calculated at the PBE level.

Lattice parameters (Å, degrees): 6.4342 6.4342 6.4342 60.00 60.00 60.00
Last column: nearest neighbours and their distance in Å.
Sites, in units of the cell vectors:
Ac1 0.0000 0.0000 0.0000  12 Tl 3.77, 4 Mg 3.94
Mg1 0.7500 0.7500 0.7500  12 Tl 3.77, 4 Ac 3.94
Tl1 0.3751 0.3751 0.3751  6 Tl 3.22
Tl2 0.3751 0.3751 0.8748  6 Tl 3.22
Tl3 0.3751 0.8748 0.3751  6 Tl 3.22
Tl4 0.8748 0.3751 0.3751  6 Tl 3.22

Values from the calculation:
* DOS at the Fermi energy: 6.65 states/eV/f.u.



Which one sits at the top of the stability order? 2 does.